A plane-wave DFT calculation with PBE with a Hubbard U was carried out for a relaxed structure of Y3CrO.

Properties
SG: Pm-3m (221)
Excess energy over the best structure of this formula in the dataset (eV per atom): 0.000
Fermi-level density of states (states/eV/cell): 5.21
DFT total energy (eV/cell): -36.90

Cell and atoms, written as POSCAR:
```
Y3CrO
1.0
4.816 0.000 0.000
0.000 4.816 0.000
0.000 0.000 4.816
Y Cr O
3 1 1
Direct
0.000 0.000 0.500
0.000 0.500 0.000
0.500 0.000 0.000
0.500 0.500 0.500
0.000 0.000 0.000
```